# 1
VASP calculation (PBE) on a relaxed Mg2H5Ir3 crystal.

a = 2.950 Å, b = 4.817 Å, c = 7.277 Å
α = 80.38°, β = 78.38°, γ = 89.97°
Fractional coordinates of all 10 atoms:
Mg1 0.000 0.000 0.000
Mg2 0.179 0.621 0.640
H1 0.575 0.277 0.848
H2 0.597 0.797 0.805
H3 0.737 0.436 0.523
H4 0.815 0.795 0.372
H5 0.981 0.543 0.035
Ir1 0.342 0.018 0.317
Ir2 0.667 0.114 0.665
Ir3 0.866 0.479 0.266

SG = P1
Relative energy among the computed polymorphs = 0.36 eV/f.u.
Magnetization = 0.00 μB per formula unit



# 2
VASP calculation (PBE) on a relaxed LaPm2Ga4 crystal.

a = 9.865 Å, b = 9.865 Å, c = 9.865 Å
α = 155.18°, β = 153.92°, γ = 36.31°
Fractional coordinates of all 7 atoms:
La1 0.000 0.000 0.000
Pm1 0.184 0.684 0.500
Pm2 0.816 0.316 0.500
Ga1 0.355 0.855 0.500
Ga2 0.433 0.433 0.000
Ga3 0.567 0.567 0.000
Ga4 0.645 0.145 0.500

SG = Immm
Formation energy from the elements = -649 meV/atom
Magnetization = 0.00 μB per formula unit



# 3
VASP calculation (PBE) on a relaxed Ni5C3 crystal.

a = 2.529 Å, b = 2.529 Å, c = 10.966 Å
α = 90.00°, β = 90.00°, γ = 90.00°
Fractional coordinates of all 8 atoms:
Ni1 0.000 0.000 0.000
Ni2 0.000 0.000 0.215
Ni3 0.000 0.000 0.785
Ni4 0.500 0.500 0.396
Ni5 0.500 0.500 0.604
C1 0.000 0.000 0.500
C2 0.500 0.500 0.134
C3 0.500 0.500 0.866

SG = P4/mmm
Formation energy from the elements = 842 meV/atom
Relative energy among the computed polymorphs = 2.34 eV/f.u.
Magnetization = 0.00 μB per formula unit



# 4
VASP calculation (PBE) on a relaxed SrBe2Ru crystal.

a = 4.689 Å, b = 4.689 Å, c = 4.689 Å
α = 127.12°, β = 127.12°, γ = 78.05°
Fractional coordinates of all 4 atoms:
Sr1 0.000 0.000 0.000
Be1 0.250 0.750 0.500
Be2 0.750 0.250 0.500
Ru1 0.500 0.500 0.000

SG = I4/mmm
Formation energy from the elements = 616 meV/atom
Relative energy among the computed polymorphs = 2.70 eV/f.u.
Magnetization = 0.00 μB per formula unit



# 5
VASP calculation (PBE) on a relaxed Ir2W crystal.

a = 5.105 Å, b = 5.105 Å, c = 5.105 Å
α = 60.00°, β = 60.00°, γ = 60.00°
Fractional coordinates of all 6 atoms:
Ir1 0.000 0.000 0.000
Ir2 0.000 0.000 0.500
Ir3 0.000 0.500 0.000
Ir4 0.500 0.000 0.000
W1 0.375 0.375 0.375
W2 0.625 0.625 0.625

SG = Fd-3m
Formation energy from the elements = 297 meV/atom
Magnetization = 0.00 μB per formula unit



# 6
VASP calculation (PBE) on a relaxed Pu5PdPt3 crystal.

a = 8.852 Å, b = 8.852 Å, c = 5.918 Å
α = 90.00°, β = 90.00°, γ = 120.00°
Fractional coordinates of all 18 atoms:
Pu1 0.000 0.288 0.250
Pu2 0.000 0.712 0.750
Pu3 0.288 0.000 0.250
Pu4 0.288 0.288 0.750
Pu5 0.333 0.667 0.000
Pu6 0.333 0.667 0.500
Pu7 0.667 0.333 0.000
Pu8 0.667 0.333 0.500
Pu9 0.712 0.000 0.750
Pu10 0.712 0.712 0.250
Pd1 0.000 0.000 0.000
Pd2 0.000 0.000 0.500
Pt1 0.000 0.371 0.750
Pt2 0.000 0.629 0.250
Pt3 0.371 0.000 0.750
Pt4 0.371 0.371 0.250
Pt5 0.629 0.000 0.250
Pt6 0.629 0.629 0.750

SG = P6_3/mcm
Formation energy from the elements = -603 meV/atom
Relative energy among the computed polymorphs = 0.00 eV/f.u.
Magnetization = 28.13 μB per formula unit



# 7
VASP calculation (PBE) on a relaxed Na2BPd6 crystal.

a = 7.708 Å, b = 7.708 Å, c = 2.865 Å
α = 90.00°, β = 90.00°, γ = 120.00°
Fractional coordinates of all 9 atoms:
Na1 0.333 0.667 0.000
Na2 0.667 0.333 0.000
B1 0.000 0.000 0.500
Pd1 0.000 0.293 0.738
Pd2 0.000 0.707 0.262
Pd3 0.293 0.000 0.738
Pd4 0.293 0.293 0.262
Pd5 0.707 0.000 0.262
Pd6 0.707 0.707 0.738

SG = P-31m
Formation energy from the elements = 151 meV/atom
Relative energy among the computed polymorphs = 3.45 eV/f.u.
Magnetization = 0.00 μB per formula unit



# 8
VASP calculation (PBE) on a relaxed LiPu2Sc3S6 crystal.

a = 6.547 Å, b = 6.547 Å, c = 6.626 Å
α = 99.50°, β = 99.50°, γ = 120.03°
Fractional coordinates of all 12 atoms:
Li1 0.000 0.000 0.000
Pu1 0.333 0.667 0.000
Pu2 0.667 0.333 0.000
Sc1 0.167 0.833 0.500
Sc2 0.500 0.500 0.500
Sc3 0.833 0.167 0.500
S1 0.089 0.415 0.265
S2 0.238 0.238 0.737
S3 0.415 0.089 0.265
S4 0.585 0.911 0.735
S5 0.762 0.762 0.263
S6 0.911 0.585 0.735

Total energy = -95.85 eV/f.u.
SG = C2/m
Magnetization = 11.61 μB per formula unit



# 9
VASP calculation (PBE) on a relaxed InFe2Hg crystal.

a = 5.449 Å, b = 5.449 Å, c = 5.449 Å
α = 145.94°, β = 130.91°, γ = 61.10°
Fractional coordinates of all 4 atoms:
In1 0.000 0.000 0.000
Fe1 0.271 0.771 0.500
Fe2 0.460 0.460 0.000
Hg1 0.719 0.219 0.500

SG = Imm2
Formation energy from the elements = 313 meV/atom
Relative energy among the computed polymorphs = 0.25 eV/f.u.
Magnetization = 5.14 μB per formula unit



# 10
VASP calculation (PBE) on a relaxed Nd2PuPaBi4 crystal.

a = 7.881 Å, b = 4.547 Å, c = 7.924 Å
α = 90.00°, β = 109.24°, γ = 90.00°
Fractional coordinates of all 8 atoms:
Nd1 0.000 0.000 0.000
Nd2 0.500 0.500 0.000
Pu1 0.000 0.500 0.500
Pa1 0.500 0.000 0.500
Bi1 0.251 0.000 0.743
Bi2 0.255 0.500 0.258
Bi3 0.745 0.500 0.742
Bi4 0.749 0.000 0.257

SG = P2/m
Formation energy from the elements = -586 meV/atom
Magnetization = 6.39 μB per formula unit



# 11
VASP calculation (PBE) on a relaxed Mg2CdW crystal.

a = 5.160 Å, b = 5.160 Å, c = 5.160 Å
α = 131.88°, β = 131.88°, γ = 70.41°
Fractional coordinates of all 4 atoms:
Mg1 0.250 0.750 0.500
Mg2 0.750 0.250 0.500
Cd1 0.000 0.000 0.000
W1 0.500 0.500 0.000

SG = I4/mmm
Formation energy from the elements = 581 meV/atom
Magnetization = 0.00 μB per formula unit



# 12
VASP calculation (PBE) on a relaxed ZrBH crystal.

a = 6.826 Å, b = 3.174 Å, c = 5.976 Å
α = 90.00°, β = 90.00°, γ = 90.00°
Fractional coordinates of all 12 atoms:
Zr1 0.183 0.250 0.159
Zr2 0.317 0.750 0.659
Zr3 0.683 0.250 0.341
Zr4 0.817 0.750 0.841
B1 0.000 0.000 0.500
B2 0.000 0.500 0.500
B3 0.500 0.000 0.000
B4 0.500 0.500 0.000
H1 0.110 0.750 0.948
H2 0.390 0.250 0.448
H3 0.610 0.750 0.552
H4 0.890 0.250 0.052

SG = Pnma
Relative energy among the computed polymorphs = 1.18 eV/f.u.
Magnetization = 0.00 μB per formula unit



# 13
VASP calculation (PBE) on a relaxed LaI2O crystal.

a = 5.408 Å, b = 5.408 Å, c = 5.408 Å
α = 60.00°, β = 60.00°, γ = 60.00°
Fractional coordinates of all 4 atoms:
La1 0.000 0.000 0.000
I1 0.250 0.250 0.250
I2 0.750 0.750 0.750
O1 0.500 0.500 0.500

SG = Fm-3m
Relative energy among the computed polymorphs = 0.00 eV/f.u.
Magnetization = 1.00 μB per formula unit